# Ba2ZnTe, optimized geometry, DFT PBE-GGA
# Crystal system: cubic
# Calculated total energy in eV per atom: -2.3862
# Space group: F-43m, No. 216
data_Ba2ZnTe
_chemical_formula_sum 'Ba2 Zn1 Te1'
_cell_length_a 5.858
_cell_length_b 5.858
_cell_length_c 5.858
_cell_angle_alpha 60.00
_cell_angle_beta 60.00
_cell_angle_gamma 60.00
_symmetry_space_group_name_H-M 'P 1'
_symmetry_Int_Tables_number 1
loop_
_symmetry_equiv_pos_as_xyz
'x,y,z'
loop_
_atom_site_label
_atom_site_type_symbol
_atom_site_fract_x
_atom_site_fract_y
_atom_site_fract_z
Ba1 Ba 0.250 0.250 0.250
Ba2 Ba 0.000 0.000 0.000
Zn1 Zn 0.500 0.500 0.500
Te1 Te 0.750 0.750 0.750